--- 1 ---
Pm4Pd4O11: optimized geometry, PBE.

Values from the calculation:
As for the space group: P1 (1).

a b c (Å): 5.450 6.018 7.549
angles (deg): 90.03 89.72 89.37
Element x y z (fractional)
O 0.825 0.811 0.057
O 0.117 0.449 0.249
O 0.391 0.961 0.252
O 0.682 0.306 0.422
O 0.814 0.803 0.448
O 0.307 0.695 0.544
O 0.176 0.185 0.556
O 0.858 0.545 0.752
O 0.645 0.069 0.754
O 0.334 0.677 0.946
O 0.183 0.192 0.950
Pd 0.973 0.485 0.004
Pd 0.519 0.022 0.005
Pd 0.989 0.493 0.500
Pd 0.507 0.005 0.506
Pm 0.512 0.595 0.240
Pm 0.988 0.071 0.259
Pm 0.457 0.424 0.739
Pm 0.037 0.906 0.760

***

--- 2 ---
Pm4Pd4O11: optimized geometry, PBE.

Values from the calculation:
As for the space group: Pm (6).

a b c (Å): 5.433 5.995 7.528
angles (deg): 90.00 90.00 89.86
Element x y z (fractional)
O 0.681 0.313 0.058
O 0.815 0.805 0.060
O 0.367 0.958 0.250
O 0.815 0.805 0.440
O 0.681 0.313 0.442
O 0.178 0.192 0.543
O 0.316 0.687 0.545
O 0.626 0.048 0.750
O 0.889 0.543 0.750
O 0.316 0.687 0.955
O 0.178 0.192 0.957
Pd 0.498 0.002 0.002
Pd 0.006 0.499 0.026
Pd 0.006 0.499 0.474
Pd 0.498 0.002 0.498
Pm 0.963 0.082 0.250
Pm 0.527 0.588 0.250
Pm 0.488 0.424 0.750
Pm 0.026 0.908 0.750

***

Which of them is the most stable? Correct choice: 1.

***

--- 1 ---
Pd2Pt2O5: optimized geometry, PBE.

Values from the calculation:
As for the space group: P4/mmm (123).

a b c (Å): 8.596 3.601 3.601
angles (deg): 90.00 90.00 90.00
Element x y z (fractional)
O 0.140 0.500 0.000
O 0.860 0.500 0.000
O 0.140 0.000 0.500
O 0.860 0.000 0.500
O 0.500 0.500 0.500
Pd 0.264 0.500 0.500
Pd 0.736 0.500 0.500
Pt 0.000 0.000 0.000
Pt 0.500 0.000 0.000

***

--- 2 ---
Pd2Pt2O5: optimized geometry, PBE.

Values from the calculation:
As for the space group: P4/mmm (123).

a b c (Å): 6.810 3.936 3.936
angles (deg): 90.00 90.00 90.00
Element x y z (fractional)
O 0.250 0.500 0.000
O 0.750 0.500 0.000
O 0.250 0.000 0.500
O 0.750 0.000 0.500
O 0.500 0.500 0.500
Pd 0.000 0.000 0.000
Pd 0.500 0.000 0.000
Pt 0.190 0.500 0.500
Pt 0.810 0.500 0.500

***

Which of them is the most stable? Correct choice: 2.

***

--- 1 ---
PdPtSO: optimized geometry, PBE.

Values from the calculation:
As for the space group: P4/nmm (129).

a b c (Å): 4.396 4.396 6.610
angles (deg): 90.00 90.00 90.00
Element x y z (fractional)
O 0.750 0.750 0.017
O 0.250 0.250 0.983
Pd 0.250 0.250 0.283
Pd 0.750 0.750 0.717
Pt 0.750 0.750 0.302
Pt 0.250 0.250 0.698
S 0.750 0.250 0.500
S 0.250 0.750 0.500

***

--- 2 ---
PdPtSO: optimized geometry, PBE.

Values from the calculation:
As for the space group: P4/nmm (129).

a b c (Å): 3.744 3.744 8.462
angles (deg): 90.00 90.00 90.00
Element x y z (fractional)
O 0.250 0.250 0.483
O 0.750 0.750 0.517
Pd 0.750 0.750 0.248
Pd 0.250 0.250 0.752
Pt 0.750 0.250 0.000
Pt 0.250 0.750 0.000
S 0.250 0.250 0.305
S 0.750 0.750 0.695

***

--- 3 ---
PdPtSO: optimized geometry, PBE.

Values from the calculation:
As for the space group: Pca2_1 (29).

a b c (Å): 5.908 6.847 5.770
angles (deg): 90.00 90.00 90.00
Element x y z (fractional)
O 0.670 0.010 0.280
O 0.170 0.990 0.280
O 0.830 0.010 0.780
O 0.330 0.990 0.780
Pd 0.505 0.317 0.487
Pd 0.005 0.683 0.487
Pd 0.995 0.317 0.987
Pd 0.495 0.683 0.987
Pt 0.388 0.161 0.093
Pt 0.888 0.839 0.093
Pt 0.112 0.161 0.593
Pt 0.612 0.839 0.593
S 0.896 0.370 0.390
S 0.396 0.630 0.390
S 0.604 0.370 0.890
S 0.104 0.630 0.890

***

Which of them is the most stable? Correct choice: 3.

***

--- 1 ---
PdPtSO: optimized geometry, PBE.

Values from the calculation:
As for the space group: P4/nmm (129).

a b c (Å): 3.775 3.775 8.669
angles (deg): 90.00 90.00 90.00
Element x y z (fractional)
O 0.750 0.250 0.500
O 0.250 0.750 0.500
Pd 0.250 0.250 0.402
Pd 0.750 0.750 0.598
Pt 0.750 0.750 0.141
Pt 0.250 0.250 0.859
S 0.250 0.250 0.131
S 0.750 0.750 0.869

***

--- 2 ---
PdPtSO: optimized geometry, PBE.

Values from the calculation:
As for the space group: Pca2_1 (29).

a b c (Å): 5.637 7.381 5.603
angles (deg): 90.00 90.00 90.00
Element x y z (fractional)
O 0.694 0.084 0.449
O 0.194 0.916 0.449
O 0.806 0.084 0.949
O 0.306 0.916 0.949
Pd 0.422 0.164 0.021
Pd 0.922 0.836 0.021
Pd 0.078 0.164 0.521
Pd 0.578 0.836 0.521
Pt 0.987 0.306 0.088
Pt 0.487 0.694 0.088
Pt 0.513 0.306 0.588
Pt 0.013 0.694 0.588
S 0.597 0.406 0.192
S 0.097 0.594 0.192
S 0.903 0.406 0.692
S 0.403 0.594 0.692

***

--- 3 ---
PdPtSO: optimized geometry, PBE.

Values from the calculation:
As for the space group: P4/nmm (129).

a b c (Å): 3.423 3.423 9.994
angles (deg): 90.00 90.00 90.00
Element x y z (fractional)
O 0.750 0.250 0.500
O 0.250 0.750 0.500
Pd 0.750 0.750 0.205
Pd 0.250 0.250 0.795
Pt 0.250 0.250 0.361
Pt 0.750 0.750 0.639
S 0.250 0.250 0.133
S 0.750 0.750 0.867

***

--- 4 ---
PdPtSO: optimized geometry, PBE.

Values from the calculation:
As for the space group: P4/nmm (129).

a b c (Å): 3.699 3.699 8.614
angles (deg): 90.00 90.00 90.00
Element x y z (fractional)
O 0.250 0.250 0.483
O 0.750 0.750 0.517
Pd 0.750 0.250 0.000
Pd 0.250 0.750 0.000
Pt 0.750 0.750 0.240
Pt 0.250 0.250 0.760
S 0.250 0.250 0.309
S 0.750 0.750 0.691

***

Which of them is the most stable? Correct choice: 2.